First-principles (PBE-GGA) data for a relaxed CaNdCd4 crystal, as listed in the Alexandria database. Values from VASP.

Calculated values
Its energy above the most stable polymorph in this dataset is 0.0385 eV per atom. The value obtained for the final energy is -2.038 eV per atom. For the theoretical density, the calculation gives 6.9 g/cm³. The value obtained for the energy relative to the elements is -0.30 eV/atom. The volume is 25.5 Å³ per atom.

Structure (Quantum ESPRESSO input):
```
&SYSTEM
  ibrav = 0, nat = 6, ntyp = 3
/
ATOMIC_SPECIES
Cd 112.41 Cd.upf
Nd 144.24 Nd.upf
Ca 40.08 Ca.upf
ATOMIC_POSITIONS angstrom
Cd 3.156 1.936 5.895
Cd 2.132 -0.817 6.576
Cd 0.296 1.567 6.776
Cd 2.541 1.222 8.759
Nd 0.000 0.000 0.000
Ca 1.016 0.489 3.501
CELL_PARAMETERS angstrom
-1.225 -1.421 5.705
4.472 -0.686 3.950
0.815 4.062 4.348
```